[1]
Entry from Alexandria via LeMat-Bulk: a geometry-optimized BaNaCd17 structure (PBE).

Structure (CIF):
```
data_BaNaCd17
_cell_length_a 10.3301
_cell_length_b 10.3301
_cell_length_c 15.2152
_cell_angle_alpha 90.00
_cell_angle_beta 90.00
_cell_angle_gamma 120.00
_symmetry_space_group_name_H-M 'R 3 m'
_symmetry_Int_Tables_number 160
_symmetry_space_group_name_Hall 'R 3 -2"'
loop_
_atom_site_label
_atom_site_type_symbol
_atom_site_fract_x
_atom_site_fract_y
_atom_site_fract_z
Ba1 Ba 0.0000 0.0000 0.0000
Na1 Na 0.0000 0.0000 0.3230
Cd1 Cd 0.0000 0.0000 0.5539
Cd2 Cd 0.0000 0.0000 0.7561
Cd3 Cd 0.0386 0.3683 0.3289
Cd4 Cd 0.1688 0.3377 0.1421
Cd5 Cd 0.1742 0.3483 0.4985
Cd6 Cd 0.1785 0.3569 0.8473
```

Calculated values
calculated total energy = -1.099 eV/atom
ΔE_f = -0.1097 eV per atom

[2]
Entry from Alexandria via LeMat-Bulk: a geometry-optimized Ba3NaCd structure (PBE).

Structure (CIF):
```
data_Ba3NaCd
_cell_length_a 6.753
_cell_length_b 6.753
_cell_length_c 6.753
_cell_angle_alpha 90.00
_cell_angle_beta 90.00
_cell_angle_gamma 90.00
_symmetry_space_group_name_H-M 'P m -3 m'
_symmetry_Int_Tables_number 221
_symmetry_space_group_name_Hall '-P 4 2 3'
loop_
_atom_site_label
_atom_site_type_symbol
_atom_site_fract_x
_atom_site_fract_y
_atom_site_fract_z
Ba1 Ba 0.000 0.000 0.500
Na1 Na 0.500 0.500 0.500
Cd1 Cd 0.000 0.000 0.000
```

Calculated values
ΔE to the lowest computed polymorph = 94 meV per atom
calculated total energy = -1.600 eV/atom
ΔE_f = 0.0006 eV per atom

[3]
Entry from Alexandria via LeMat-Bulk: a geometry-optimized Ba4Na3Cd structure (PBE).

Structure (CIF):
```
data_Ba4Na3Cd
_cell_length_a 4.348
_cell_length_b 4.348
_cell_length_c 20.229
_cell_angle_alpha 90.00
_cell_angle_beta 90.00
_cell_angle_gamma 90.00
_symmetry_space_group_name_H-M 'P 4/m m m'
_symmetry_Int_Tables_number 123
_symmetry_space_group_name_Hall '-P 4 2'
loop_
_atom_site_label
_atom_site_type_symbol
_atom_site_fract_x
_atom_site_fract_y
_atom_site_fract_z
Ba1 Ba 0.000 0.000 0.100
Ba2 Ba 0.000 0.000 0.368
Na1 Na 0.500 0.500 0.235
Na2 Na 0.500 0.500 0.500
Cd1 Cd 0.500 0.500 0.000
```

Calculated values
ΔE to the lowest computed polymorph = 0 meV per atom
calculated total energy = -1.651 eV/atom
ΔE_f = -0.0808 eV per atom

[4]
Entry from Alexandria via LeMat-Bulk: a geometry-optimized BaNa3Cd3 structure (PBE).

Structure (CIF):
```
data_BaNa3Cd3
_cell_length_a 10.091
_cell_length_b 5.246
_cell_length_c 10.100
_cell_angle_alpha 90.00
_cell_angle_beta 119.96
_cell_angle_gamma 90.00
_symmetry_space_group_name_H-M 'P 1 21/m 1'
_symmetry_Int_Tables_number 11
_symmetry_space_group_name_Hall '-P 2yb'
loop_
_atom_site_label
_atom_site_type_symbol
_atom_site_fract_x
_atom_site_fract_y
_atom_site_fract_z
Ba1 Ba 0.167 0.250 0.333
Na1 Na 0.249 0.250 0.973
Na2 Na 0.275 0.750 0.749
Na3 Na 0.474 0.750 0.225
Cd1 Cd 0.036 0.250 0.599
Cd2 Cd 0.099 0.750 0.062
Cd3 Cd 0.437 0.750 0.536
```

Calculated values
ΔE to the lowest computed polymorph = 0 meV per atom
calculated total energy = -1.370 eV/atom
ΔE_f = -0.1379 eV per atom

[5]
Entry from Alexandria via LeMat-Bulk: a geometry-optimized BaNa2Cd structure (PBE).

Structure (CIF):
```
data_BaNa2Cd
_cell_length_a 4.235
_cell_length_b 4.235
_cell_length_c 8.391
_cell_angle_alpha 90.00
_cell_angle_beta 90.00
_cell_angle_gamma 90.00
_symmetry_space_group_name_H-M 'P 4/m m m'
_symmetry_Int_Tables_number 123
_symmetry_space_group_name_Hall '-P 4 2'
loop_
_atom_site_label
_atom_site_type_symbol
_atom_site_fract_x
_atom_site_fract_y
_atom_site_fract_z
Ba1 Ba 0.000 0.000 0.000
Na1 Na 0.500 0.500 0.310
Cd1 Cd 0.000 0.000 0.500
```

Calculated values
calculated total energy = -1.388 eV/atom
ΔE_f = -0.0186 eV per atom

[6]
Entry from Alexandria via LeMat-Bulk: a geometry-optimized Ba4NaCd2 structure (PBE).

Structure (CIF):
```
data_Ba4NaCd2
_cell_length_a 6.1483
_cell_length_b 6.1483
_cell_length_c 29.4686
_cell_angle_alpha 90.00
_cell_angle_beta 90.00
_cell_angle_gamma 120.00
_symmetry_space_group_name_H-M 'R -3 m'
_symmetry_Int_Tables_number 166
_symmetry_space_group_name_Hall '-R 3 2"'
loop_
_atom_site_label
_atom_site_type_symbol
_atom_site_fract_x
_atom_site_fract_y
_atom_site_fract_z
Ba1 Ba 0.0000 0.0000 0.1182
Ba2 Ba 0.0000 0.0000 0.3702
Na1 Na 0.0000 0.0000 0.5000
Cd1 Cd 0.0000 0.0000 0.2465
```

Calculated values
ΔE to the lowest computed polymorph = 0 meV per atom
calculated total energy = -1.675 eV/atom
ΔE_f = -0.1260 eV per atom

[7]
Entry from Alexandria via LeMat-Bulk: a geometry-optimized BaNa16Cd12 structure (PBE).

Structure (CIF):
```
data_BaNa16Cd12
_cell_length_a 11.811
_cell_length_b 17.034
_cell_length_c 9.923
_cell_angle_alpha 90.00
_cell_angle_beta 123.15
_cell_angle_gamma 90.00
_symmetry_space_group_name_H-M 'C 1 m 1'
_symmetry_Int_Tables_number 8
_symmetry_space_group_name_Hall 'C -2y'
loop_
_atom_site_label
_atom_site_type_symbol
_atom_site_fract_x
_atom_site_fract_y
_atom_site_fract_z
Ba1 Ba 0.000 0.000 0.000
Na1 Na 0.132 0.292 0.426
Na2 Na 0.228 0.500 0.066
Na3 Na 0.246 0.500 0.472
Na4 Na 0.258 0.167 0.745
Na5 Na 0.267 0.164 0.150
Na6 Na 0.366 0.350 0.326
Na7 Na 0.420 0.000 0.726
Na8 Na 0.423 0.000 0.370
Na9 Na 0.437 0.290 0.047
Na10 Na 0.467 0.345 0.722
Cd1 Cd 0.014 0.408 0.113
Cd2 Cd 0.065 0.000 0.571
Cd3 Cd 0.104 0.321 0.925
Cd4 Cd 0.161 0.092 0.383
Cd5 Cd 0.190 0.409 0.729
Cd6 Cd 0.255 0.000 0.924
Cd7 Cd 0.421 0.176 0.548
```

Calculated values
calculated total energy = -1.255 eV/atom
ΔE_f = -0.0821 eV per atom

[8]
Entry from Alexandria via LeMat-Bulk: a geometry-optimized Ba2NaCd2 structure (PBE).

Structure (CIF):
```
data_Ba2NaCd2
_cell_length_a 9.328
_cell_length_b 9.328
_cell_length_c 4.695
_cell_angle_alpha 90.00
_cell_angle_beta 90.00
_cell_angle_gamma 90.00
_symmetry_space_group_name_H-M 'P 4/m b m'
_symmetry_Int_Tables_number 127
_symmetry_space_group_name_Hall '-P 4 2ab'
loop_
_atom_site_label
_atom_site_type_symbol
_atom_site_fract_x
_atom_site_fract_y
_atom_site_fract_z
Ba1 Ba 0.168 0.332 0.000
Na1 Na 0.000 0.000 0.500
Cd1 Cd 0.124 0.624 0.500
```

Calculated values
ΔE to the lowest computed polymorph = 3 meV per atom
calculated total energy = -1.617 eV/atom
ΔE_f = -0.2179 eV per atom